A plane-wave DFT calculation with PBE was carried out for a geometry-optimized Rb2Cd4AgSn3 structure.

Results
The calculation puts the magnetization at 0.0 μB per cell. The energy of formation comes out at -0.104 eV per atom. The calculation puts the density of states at the Fermi level at 6.23 states/eV per cell.

Cell: 4.9701 4.9701 12.2449 Å, 90.00 90.00 90.00°
Space group P-4m2 (No. 115)
Inequivalent atoms, fractional coordinates:
Rb1 0.0000 0.5000 0.2475
Cd1 0.0000 0.0000 0.5000
Cd2 0.0000 0.5000 0.8727
Cd3 0.5000 0.5000 0.5000
Ag1 0.5000 0.5000 0.0000
Sn1 0.0000 0.0000 0.0000
Sn2 0.0000 0.5000 0.6346